Entry 1:
Cs8Na2Hg: relaxed, GGA-PBE.

a b c (Å): 7.382 12.271 20.329
angles (deg): 90.00 90.00 90.00
Space group Immm (No. 71)
Symmetry-distinct sites (fractional):
Cs: 0.000 0.000 0.137 [4 per cell]
Cs: 0.000 0.226 0.348 [8 per cell]
Cs: 0.000 0.317 0.000 [4 per cell]
Na: 0.000 0.500 0.199 [4 per cell]
Hg: 0.000 0.500 0.500 [2 per cell]

## Properties
M_tot   0.00 μB/f.u.
E_tot   -0.889 eV/atom
DOS(E_F)   0.7721 states/eV per atom
Offset from the most stable computed form   0.031 eV/atom

***

Entry 2:
Cs3NaHg2: relaxed, GGA-PBE.

a b c (Å): 21.130 5.420 14.090
angles (deg): 90.00 115.05 90.00
Space group C2/m (No. 12)
Symmetry-distinct sites (fractional):
Cs: 0.051 0.000 0.228 [4 per cell]
Cs: 0.159 0.500 0.011 [4 per cell]
Cs: 0.221 0.000 0.615 [4 per cell]
Na: 0.069 0.500 0.650 [4 per cell]
Hg: 0.099 0.500 0.440 [4 per cell]
Hg: 0.136 0.000 0.804 [4 per cell]

## Properties
M_tot   0.00 μB/f.u.
E_tot   -0.879 eV/atom
DOS(E_F)   0.5928 states/eV per atom
Offset from the most stable computed form   0.024 eV/atom

***

Entry 3:
CsNaHg4: relaxed, GGA-PBE.

a b c (Å): 9.220 9.220 9.220
angles (deg): 90.00 90.00 90.00
Space group F-43m (No. 216)
Symmetry-distinct sites (fractional):
Cs: 0.000 0.000 0.000 [4 per cell]
Na: 0.250 0.250 0.250 [4 per cell]
Hg: 0.124 0.124 0.624 [16 per cell]

## Properties
M_tot   0.00 μB/f.u.
E_tot   -0.743 eV/atom
DOS(E_F)   0.6643 states/eV per atom
Offset from the most stable computed form   0.086 eV/atom

***

Entry 4:
Cs4Na2Hg5: relaxed, GGA-PBE.

a b c (Å): 11.416 24.217 7.003
angles (deg): 90.00 90.00 90.00
Space group Ibam (No. 72)
Symmetry-distinct sites (fractional):
Cs: 0.123 0.152 0.000 [8 per cell]
Cs: 0.222 0.441 0.000 [8 per cell]
Na: 0.000 0.300 0.250 [8 per cell]
Hg: 0.000 0.000 0.250 [4 per cell]
Hg: 0.081 0.409 0.500 [8 per cell]
Hg: 0.205 0.218 0.500 [8 per cell]

## Properties
M_tot   0.00 μB/f.u.
E_tot   -0.877 eV/atom
DOS(E_F)   0.3568 states/eV per atom

***

Entry 5:
Cs2Na2Hg: relaxed, GGA-PBE.

a b c (Å): 5.433 22.275 9.609
angles (deg): 90.00 90.00 90.00
Space group Cmc2_1 (No. 36)
Symmetry-distinct sites (fractional):
Cs: 0.000 0.057 0.000 [4 per cell]
Cs: 0.000 0.265 0.279 [4 per cell]
Na: 0.000 0.119 0.579 [4 per cell]
Na: 0.000 0.419 0.851 [4 per cell]
Hg: 0.000 0.448 0.187 [4 per cell]

## Properties
M_tot   0.00 μB/f.u.
E_tot   -1.028 eV/atom
DOS(E_F)   0.3939 states/eV per atom
Offset from the most stable computed form   0.000 eV/atom

***

Entry 6:
Cs2Na9Hg6: relaxed, GGA-PBE.

a b c (Å): 7.3364 7.3364 14.1357
angles (deg): 90.00 90.00 120.00
Space group P6/mmm (No. 191)
Symmetry-distinct sites (fractional):
Cs: 0.0000 0.0000 0.1806 [2 per cell]
Na: 0.0000 0.5000 0.0000 [3 per cell]
Na: 0.0000 0.5000 0.3377 [6 per cell]
Hg: 0.3333 0.6667 0.1700 [4 per cell]
Hg: 0.3333 0.6667 0.5000 [2 per cell]

## Properties
M_tot   0.00 μB/f.u.
E_tot   -1.017 eV/atom
DOS(E_F)   0.4980 states/eV per atom

***

Entry 7:
Cs2Na2Hg: relaxed, GGA-PBE.

a b c (Å): 4.811 4.811 24.620
angles (deg): 90.00 90.00 90.00
Space group I4/mmm (No. 139)
Symmetry-distinct sites (fractional):
Cs: 0.000 0.000 0.094 [4 per cell]
Na: 0.000 0.500 0.250 [4 per cell]
Hg: 0.000 0.000 0.500 [2 per cell]

## Properties
M_tot   0.00 μB/f.u.
E_tot   -0.962 eV/atom
DOS(E_F)   0.9296 states/eV per atom
Offset from the most stable computed form   0.066 eV/atom

***

Entry 8:
CsNaHg14: relaxed, GGA-PBE.

a b c (Å): 17.062 12.347 11.064
angles (deg): 90.00 124.09 90.00
Space group C2/c (No. 15)
Symmetry-distinct sites (fractional):
Cs: 0.000 0.167 0.250 [4 per cell]
Na: 0.250 0.250 0.000 [4 per cell]
Hg: 0.049 0.457 0.418 [8 per cell]
Hg: 0.064 0.103 0.965 [8 per cell]
Hg: 0.071 0.312 0.694 [8 per cell]
Hg: 0.135 0.338 0.131 [8 per cell]
Hg: 0.161 0.060 0.756 [8 per cell]
Hg: 0.227 0.498 0.893 [8 per cell]
Hg: 0.230 0.314 0.610 [8 per cell]

## Properties
M_tot   0.00 μB/f.u.
E_tot   -0.511 eV/atom
DOS(E_F)   0.3491 states/eV per atom

***

Entry 9:
Cs2Na17Hg3: relaxed, GGA-PBE.

a b c (Å): 13.0016 13.0016 18.6996
angles (deg): 90.00 90.00 120.00
Space group R-3m (No. 166, hexagonal axes)
Symmetry-distinct sites (fractional):
Cs: 0.0000 0.0000 0.1584 [6 per cell]
Na: 0.0000 0.0000 0.4023 [6 per cell]
Na: 0.0000 0.2644 0.5000 [18 per cell]
Na: 0.0000 0.5000 0.0000 [9 per cell]
Na: 0.0033 0.5016 0.3336 [18 per cell]
Hg: 0.0000 0.5000 0.5000 [9 per cell]

## Properties
M_tot   0.00 μB/f.u.
E_tot   -1.168 eV/atom
DOS(E_F)   0.5680 states/eV per atom

***

Entry 10:
Cs12Na5Hg3: relaxed, GGA-PBE.

a b c (Å): 24.100 24.100 24.100
angles (deg): 90.00 90.00 90.00
Space group Ia-3d (No. 230)
Symmetry-distinct sites (fractional):
Cs: 0.022 0.083 0.650 [96 per cell]
Na: 0.000 0.000 0.000 [16 per cell]
Na: 0.000 0.250 0.375 [24 per cell]
Hg: 0.000 0.250 0.125 [24 per cell]

## Properties
M_tot   0.00 μB/f.u.
E_tot   -0.808 eV/atom
DOS(E_F)   1.0158 states/eV per atom

***

Entry 11:
Cs2Na4Hg: relaxed, GGA-PBE.

a b c (Å): 6.120 6.120 21.555
angles (deg): 90.00 90.00 90.00
Space group I4/mmm (No. 139)
Symmetry-distinct sites (fractional):
Cs: 0.000 0.000 0.154 [4 per cell]
Na: 0.000 0.000 0.361 [4 per cell]
Na: 0.000 0.500 0.000 [4 per cell]
Hg: 0.000 0.000 0.500 [2 per cell]

## Properties
M_tot   0.00 μB/f.u.
E_tot   -1.049 eV/atom
DOS(E_F)   0.8252 states/eV per atom

***

Entry 12:
Cs3Na11Hg4: relaxed, GGA-PBE.

a b c (Å): 7.4532 7.4532 15.3609
angles (deg): 90.00 90.00 120.00
Space group P6/mmm (No. 191)
Symmetry-distinct sites (fractional):
Cs: 0.0000 0.0000 0.0000 [1 per cell]
Cs: 0.0000 0.0000 0.3388 [2 per cell]
Na: 0.0000 0.5000 0.1923 [6 per cell]
Na: 0.0000 0.5000 0.5000 [3 per cell]
Na: 0.3333 0.6667 0.0000 [2 per cell]
Hg: 0.3333 0.6667 0.3443 [4 per cell]

## Properties
M_tot   0.00 μB/f.u.
E_tot   -1.119 eV/atom
DOS(E_F)   0.5327 states/eV per atom

***

Number 1: volume 1841.4 Å³ per cell. Number 2: volume 1461.9 Å³ per cell. Number 3: volume 783.7 Å³ per cell. Number 4: volume 1936.0 Å³ per cell. Number 5: volume 1162.9 Å³ per cell. Number 6: volume 658.9 Å³ per cell. Number 7: volume 569.7 Å³ per cell. Number 8: volume 1930.4 Å³ per cell. Number 9: volume 2737.5 Å³ per cell. Number 10: volume 13997.5 Å³ per cell. Number 11: volume 807.5 Å³ per cell. Number 12: volume 739.0 Å³ per cell.